Below is a geometry-optimized ZnAgBi2Rh structure, with properties calculated at the PBE level.

Cell: 5.2681 5.2681 4.8186 Å, 90.00 90.00 90.00°
With the nearest neighbours (Å) after each atom.
Sites, in units of the cell vectors:
Zn 0.0000 0.0000 0.0000  2 Rh 2.41
Ag 0.5000 0.5000 0.0000  8 Bi 3.57, 4 Zn 3.73
Bi 0.0000 0.5000 0.5000  2 Rh 2.63
Bi 0.5000 0.0000 0.5000  2 Rh 2.63
Rh 0.0000 0.0000 0.5000  2 Zn 2.41, 4 Bi 2.63

Computed properties:
Volume   134 Å³ per cell
Uncorrected energy   -3.5565 eV per atom
Density of states at the Fermi level   3.5 states/eV per cell
Theoretical density   8.62 Mg/m³
Size of the total moment   0.00 μB per formula unit
Space group   P4/mmm, No. 123